1.
This record from the Alexandria database describes crystalline KPaMnN3 at its relaxed geometry. The functional is PBE.

Lattice parameters (Å, degrees): 3.5481 7.8367 8.1453 104.39 90.00 90.00
With the nearest neighbours (Å) after each atom.
Positions (direct):
K 0.2500 0.1824 0.2014  5 N 2.98-3.17
K 0.7500 0.8176 0.7986  5 N 2.98-3.17
Pa 0.2500 0.6534 0.1613  6 N 2.28-2.43
Pa 0.7500 0.3466 0.8387  6 N 2.28-2.43
Mn 0.2500 0.0731 0.5944  4 N 1.87-1.93
Mn 0.7500 0.9269 0.4056  4 N 1.87-1.93
N 0.7500 0.8409 0.1696  1 Mn 1.87
N 0.2500 0.1591 0.8304  1 Mn 1.87
N 0.2500 0.8483 0.4450  3 Mn 1.88-1.93
N 0.7500 0.1517 0.5550  3 Mn 1.88-1.93
N 0.7500 0.4650 0.1242  3 Pa 2.28
N 0.2500 0.5350 0.8758  3 Pa 2.28

For the uncorrected formation energy, the calculation gives -506 kJ/mol of formula units. Its mass density is 5.557 g/cm³. The value obtained for the final energy is -8.3304 eV/atom.

---

2.
This record from the Alexandria database describes crystalline KPaMnN4 at its relaxed geometry. The functional is PBE.

Lattice parameters (Å, degrees): 5.7630 5.4581 7.6481 90.00 105.37 90.00
With the nearest neighbours (Å) after each atom.
Positions (direct):
K 0.7108 0.7500 0.9297  6 N 2.96-3.08
K 0.2892 0.2500 0.0703  6 N 2.96-3.08
Pa 0.7625 0.7500 0.4457  6 N 2.26-2.40
Pa 0.2375 0.2500 0.5543  6 N 2.26-2.40
Mn 0.2271 0.7500 0.3334  4 N 1.71-1.74
Mn 0.7729 0.2500 0.6666  4 N 1.71-1.74
N 0.9710 0.4924 0.6770  1 Mn 1.74
N 0.0290 0.9924 0.3230  1 Mn 1.74
N 0.0290 0.5076 0.3230  1 Mn 1.74
N 0.9710 0.0076 0.6770  1 Mn 1.74
N 0.4317 0.7500 0.2073  1 Mn 1.71
N 0.5683 0.2500 0.7927  1 Mn 1.71
N 0.4224 0.7500 0.5463  1 Mn 1.72
N 0.5776 0.2500 0.4537  1 Mn 1.72

For the uncorrected formation energy, the calculation gives -449 kJ/mol of formula units. Its mass density is 5.456 g/cm³. The value obtained for the final energy is -8.2448 eV/atom.

---

3.
This record from the Alexandria database describes crystalline K2Pa2MnN6 at its relaxed geometry. The functional is PBE.

Lattice parameters (Å, degrees): 5.7688 5.7688 6.7340 96.68 96.68 119.80
With the nearest neighbours (Å) after each atom.
Positions (direct):
K 0.8434 0.1566 0.0000  4 N 2.81-2.88, 1 K 3.13
K 0.1566 0.8434 0.0000  4 N 2.81-2.88, 1 K 3.13
Pa 0.3356 0.6644 0.5000  6 N 2.24-2.27
Pa 0.6644 0.3356 0.5000  6 N 2.24-2.27
Mn 0.0000 0.0000 0.5000  6 N 1.99-2.08
N 0.7480 0.7480 0.6581  1 Mn 1.99
N 0.0407 0.3549 0.6561  1 Mn 2.08, 2 Pa 2.24
N 0.2520 0.2520 0.3419  1 Mn 1.99
N 0.3549 0.0407 0.6561  1 Mn 2.08, 2 Pa 2.24
N 0.9593 0.6451 0.3439  1 Mn 2.08, 2 Pa 2.24
N 0.6451 0.9593 0.3439  1 Mn 2.08, 2 Pa 2.24

For the uncorrected formation energy, the calculation gives -649 kJ/mol of formula units. Its mass density is 5.963 g/cm³. The value obtained for the final energy is -7.9120 eV/atom.

---

4.
This record from the Alexandria database describes crystalline K3Pa2MnN6 at its relaxed geometry. The functional is PBE.

Lattice parameters (Å, degrees): 5.8782 5.8782 6.6902 98.26 98.26 120.08
With the nearest neighbours (Å) after each atom.
Positions (direct):
K 0.1583 0.8417 0.5000  6 N 2.83-3.04
K 0.8417 0.1583 0.5000  6 N 2.83-3.04
K 0.5000 0.5000 0.5000  6 N 2.87-2.98
Pa 0.3332 0.6668 0.0000  6 N 2.28
Pa 0.6668 0.3332 0.0000  6 N 2.28
Mn 0.0000 0.0000 0.0000  6 N 2.12
N 0.9454 0.6325 0.8345  1 Mn 2.12, 2 Pa 2.28
N 0.7407 0.7407 0.1638  1 Mn 2.12, 2 Pa 2.28
N 0.0546 0.3675 0.1655  1 Mn 2.12, 2 Pa 2.28
N 0.6325 0.9454 0.8345  1 Mn 2.12, 2 Pa 2.28
N 0.2593 0.2593 0.8362  1 Mn 2.12, 2 Pa 2.28
N 0.3675 0.0546 0.1655  1 Mn 2.12, 2 Pa 2.28

For the uncorrected formation energy, the calculation gives -765 kJ/mol of formula units. Its mass density is 6.226 g/cm³. The value obtained for the final energy is -7.4449 eV/atom.

---

5.
This record from the Alexandria database describes crystalline K4Pa3MnN8 at its relaxed geometry. The functional is PBE.

Lattice parameters (Å, degrees): 6.9369 7.5664 6.9396 117.29 119.99 90.00
With the nearest neighbours (Å) after each atom.
Positions (direct):
K 0.5000 0.0000 0.0000  6 N 3.00
K 0.5000 0.0000 0.5000  6 N 2.92
K 0.0000 0.0000 0.0000  6 N 2.92
K 0.0000 0.0000 0.5000  6 N 2.92
Pa 0.5000 0.5000 0.0000  6 N 2.28-2.29
Pa 0.5000 0.5000 0.5000  6 N 2.27-2.30
Pa 0.0000 0.5000 0.5000  6 N 2.27-2.30
Mn 0.0000 0.5000 0.0000  6 N 2.19-2.20
N 0.2146 0.6629 0.9485  1 Mn 2.19, 2 Pa 2.29-2.30
N 0.2150 0.6632 0.4299  1 Mn 2.20, 2 Pa 2.29
N 0.2773 0.3318 0.5545  3 Pa 2.27-2.28
N 0.7339 0.6629 0.9485  1 Mn 2.19, 2 Pa 2.29-2.30
N 0.2661 0.3371 0.0515  1 Mn 2.19, 2 Pa 2.29-2.30
N 0.7227 0.6682 0.4455  3 Pa 2.27-2.28
N 0.7850 0.3368 0.5701  1 Mn 2.20, 2 Pa 2.29
N 0.7854 0.3371 0.0515  1 Mn 2.19, 2 Pa 2.29-2.30

For the uncorrected formation energy, the calculation gives -1184 kJ/mol of formula units. Its mass density is 6.306 g/cm³. The value obtained for the final energy is -7.5579 eV/atom.

---

6.
This record from the Alexandria database describes crystalline K2PaMnN4 at its relaxed geometry. The functional is PBE.

Lattice parameters (Å, degrees): 5.2075 8.0896 6.5672 90.00 90.00 90.00
With the nearest neighbours (Å) after each atom.
Positions (direct):
K 0.4486 0.3726 0.2653  3 N 2.54-2.81
K 0.4486 0.3726 0.7347  3 N 2.54-2.81
K 0.9486 0.6275 0.7653  3 N 2.54-2.81
K 0.9486 0.6275 0.2347  3 N 2.54-2.81
Pa 0.9496 0.0902 0.5000  3 N 2.06-2.20
Pa 0.4496 0.9098 0.0000  3 N 2.06-2.20
Mn 0.5004 0.8336 0.5000  4 N 1.77-1.81
Mn 0.0004 0.1664 0.0000  4 N 1.77-1.81
N 0.3433 0.1545 0.0000  1 Mn 1.79
N 0.8433 0.8455 0.5000  1 Mn 1.79
N 0.4373 0.0490 0.5000  1 Mn 1.77
N 0.9373 0.9510 0.0000  1 Mn 1.77
N 0.4361 0.7363 0.7427  1 Mn 1.81
N 0.9361 0.2637 0.2427  1 Mn 1.81
N 0.9361 0.2637 0.7573  1 Mn 1.81
N 0.4361 0.7363 0.2573  1 Mn 1.81

For the uncorrected formation energy, the calculation gives -373 kJ/mol of formula units. Its mass density is 5.044 g/cm³. The value obtained for the final energy is -7.2531 eV/atom.

---

7.
This record from the Alexandria database describes crystalline KPa3Mn4N12 at its relaxed geometry. The functional is PBE.

Lattice parameters (Å, degrees): 7.1541 7.1541 7.1541 104.04 104.04 104.04
With the nearest neighbours (Å) after each atom.
Positions (direct):
K 0.0000 0.0000 0.0000  6 N 2.86
Pa 0.5540 0.4460 0.0000  6 N 2.24-2.30
Pa 0.4460 0.0000 0.5540  6 N 2.24-2.30
Pa 0.0000 0.5540 0.4460  6 N 2.24-2.30
Mn 0.9469 0.0531 0.5000  3 N 1.67-1.77
Mn 0.0531 0.5000 0.9469  3 N 1.67-1.77
Mn 0.5000 0.9469 0.0531  3 N 1.67-1.77
Mn 0.5000 0.5000 0.5000  3 N 1.76
N 0.5000 0.3441 0.6559  1 Mn 1.76
N 0.8963 0.5000 0.1037  1 Mn 1.77
N 0.1037 0.8963 0.5000  1 Mn 1.77
N 0.5000 0.1037 0.8963  1 Mn 1.77
N 0.3767 0.9716 0.2234  1 Mn 1.67
N 0.2234 0.3767 0.9716  1 Mn 1.67
N 0.9716 0.2234 0.3767  1 Mn 1.67
N 0.6233 0.7766 0.0284  1 Mn 1.67
N 0.0284 0.6233 0.7766  1 Mn 1.67
N 0.7766 0.0284 0.6233  1 Mn 1.67
N 0.6559 0.5000 0.3441  1 Mn 1.76
N 0.3441 0.6559 0.5000  1 Mn 1.76

For the uncorrected formation energy, the calculation gives -789 kJ/mol of formula units. Its mass density is 5.697 g/cm³. The value obtained for the final energy is -8.7174 eV/atom.

---

8.
This record from the Alexandria database describes crystalline KPmMnN3 at its relaxed geometry. The functional is PBE.

Lattice parameters (Å, degrees): 3.7175 6.9817 7.8320 104.82 90.00 105.44
With the nearest neighbours (Å) after each atom.
Positions (direct):
K 0.3658 0.7316 0.9270  6 N 2.88-3.14
K 0.6342 0.2684 0.0730  6 N 2.88-3.14
Pm 0.6610 0.3219 0.5843  7 N 2.40-2.58
Pm 0.3390 0.6781 0.4158  7 N 2.40-2.58
Mn 0.0033 0.0067 0.3344  3 N 1.73-1.86
Mn 0.9967 0.9933 0.6656  3 N 1.73-1.86
N 0.8757 0.7513 0.2115  1 Mn 1.73
N 0.8464 0.6928 0.6294  1 Mn 1.97
N 0.5116 0.0231 0.3346  2 Mn 1.86
N 0.1536 0.3072 0.3706  1 Mn 1.97
N 0.4884 0.9769 0.6654  2 Mn 1.86
N 0.1243 0.2487 0.7885  1 Mn 1.73

For the uncorrected formation energy, the calculation gives -205 kJ/mol of formula units. Its mass density is 4.941 g/cm³. The value obtained for the final energy is -7.0193 eV/atom.

---

> The highest mass density belongs to which entry?

K4Pa3MnN8

---

> What is the uncorrected formation energy in the seventh record?

-789 kJ/mol of formula units

---

> What is the final energy in the fifth record?

-7.5579 eV/atom